Crystalline SbPd3Ru at its relaxed geometry, computed with PBE-GGA. Values from VASP.

The structure in Quantum ESPRESSO input format:
```
&SYSTEM
  ibrav = 0, nat = 5, ntyp = 3
/
ATOMIC_SPECIES
Sb 121.76 Sb.upf
Pd 106.42 Pd.upf
Ru 101.07 Ru.upf
CELL_PARAMETERS angstrom
4.8107 0.0000 0.0000
0.0000 4.8107 0.0000
0.0000 0.0000 4.8107
ATOMIC_POSITIONS crystal
Sb 0.0000 0.0000 0.0000
Pd 0.0000 0.5000 0.5000
Pd 0.5000 0.0000 0.5000
Pd 0.5000 0.5000 0.0000
Ru 0.5000 0.5000 0.5000
```

Spin magnetization (μB per formula unit): 2.10
Formation energy without anion corrections (eV/atom): 1.018
DOS(E_F) (states/eV per cell): 6.1
DFT total energy (eV per atom): -4.78
Density (g/cm3): 8.1
E above lowest polymorph (meV/atom): 0.0

=====

Crystalline PmHo8Sc2 at its relaxed geometry, computed with PBE-GGA. Values from VASP.

The structure in Quantum ESPRESSO input format:
```
&SYSTEM
  ibrav = 0, nat = 11, ntyp = 3
/
ATOMIC_SPECIES
Pm 145.00 Pm.upf
Ho 164.93 Ho.upf
Sc 44.96 Sc.upf
CELL_PARAMETERS angstrom
-2.6751 4.0561 7.7732
2.6751 -4.0561 7.7732
2.6751 4.0561 -7.7732
ATOMIC_POSITIONS crystal
Pm 0.0000 0.0000 0.0000
Ho 0.1514 0.8569 0.2945
Ho 0.1642 0.6642 0.5000
Ho 0.2996 0.5000 0.7996
Ho 0.4376 0.1431 0.2945
Ho 0.5624 0.8569 0.7055
Ho 0.7004 0.5000 0.2004
Ho 0.8358 0.3358 0.5000
Ho 0.8486 0.1431 0.7055
Sc 0.3001 0.3001 0.0000
Sc 0.6999 0.6999 0.0000
```

Spin magnetization (μB per formula unit): 0.00
DOS(E_F) (states/eV per cell): 16.9
DFT total energy (eV per atom): -4.79
Energy of formation from the pure elements (meV/atom): 125
Density (g/cm3): 7.7
E above lowest polymorph (meV/atom): 0.0

=====

Please write out number 2 again, unchanged.
Crystalline PmHo8Sc2 at its relaxed geometry, computed with PBE-GGA. Values from VASP.

The structure in Quantum ESPRESSO input format:
```
&SYSTEM
  ibrav = 0, nat = 11, ntyp = 3
/
ATOMIC_SPECIES
Pm 145.00 Pm.upf
Ho 164.93 Ho.upf
Sc 44.96 Sc.upf
CELL_PARAMETERS angstrom
-2.6751 4.0561 7.7732
2.6751 -4.0561 7.7732
2.6751 4.0561 -7.7732
ATOMIC_POSITIONS crystal
Pm 0.0000 0.0000 0.0000
Ho 0.1514 0.8569 0.2945
Ho 0.1642 0.6642 0.5000
Ho 0.2996 0.5000 0.7996
Ho 0.4376 0.1431 0.2945
Ho 0.5624 0.8569 0.7055
Ho 0.7004 0.5000 0.2004
Ho 0.8358 0.3358 0.5000
Ho 0.8486 0.1431 0.7055
Sc 0.3001 0.3001 0.0000
Sc 0.6999 0.6999 0.0000
```

Spin magnetization (μB per formula unit): 0.00
DOS(E_F) (states/eV per cell): 16.9
DFT total energy (eV per atom): -4.79
Energy of formation from the pure elements (meV/atom): 125
Density (g/cm3): 7.7
E above lowest polymorph (meV/atom): 0.0

=====

Question: Look up the E above lowest polymorph of the first one.
Answer: 0.0 meV/atom